# MnHS2

A relaxed structure of MnHS2 (GGA-PBE, Alexandria).

Properties
E_tot (eV per atom): -5.530
Energy above the most stable polymorph in this dataset (meV/atom): 34
DOS at the Fermi energy (states/eV per atom): 0.126
Volume (Å³/cell): 317.1
Space-group type: No. 62

a = 6.683 Å, b = 11.298 Å, c = 4.200 Å
α = 90.00°, β = 90.00°, γ = 90.00°
Last column: magnetic moment on the atom in μB.
Positions (direct):
H 0.045 0.125 0.062  0.01
H 0.955 0.875 0.562  0.01
H 0.455 0.625 0.562  0.01
H 0.545 0.375 0.062  0.01
S 0.326 0.981 0.063  -0.04
S 0.674 0.019 0.563  -0.04
S 0.174 0.481 0.563  -0.04
S 0.826 0.519 0.063  -0.04
S 0.092 0.786 0.562  0.04
S 0.908 0.214 0.062  0.04
S 0.408 0.286 0.062  0.04
S 0.592 0.714 0.562  0.04
Mn 0.103 0.395 0.063  3.67
Mn 0.897 0.605 0.563  3.67
Mn 0.397 0.895 0.563  3.67
Mn 0.603 0.105 0.063  3.67